[1]
Below is a geometry-optimized TlCrBr2 structure, with properties calculated at the PBE level. Values from VASP.

Computed properties:
For the excess energy over the best structure of this formula in the dataset, the calculation gives 240 meV/atom. The formation energy from raw total energies comes out at -0.143 eV per atom. Its space-group type is Pmmm (47).

```
&SYSTEM
  ibrav = 0, nat = 4, ntyp = 3
/
ATOMIC_SPECIES
Tl 204.38 Tl.upf
Cr 52.00 Cr.upf
Br 79.90 Br.upf
ATOMIC_POSITIONS crystal
Tl 0.000 0.500 0.500
Cr 0.500 0.000 0.500
Br 0.000 0.000 0.000
Br 0.500 0.500 0.000
CELL_PARAMETERS angstrom
-0.670 2.991 4.465
4.073 -2.601 2.353
2.427 2.571 -1.358
```

[2]
Below is a geometry-optimized NbGaHSI structure, with properties calculated at the PBE level. Values from VASP.

Computed properties:
For the excess energy over the best structure of this formula in the dataset, the calculation gives 133 meV/atom. Its space-group type is Cm (8).

```
&SYSTEM
  ibrav = 0, nat = 10, ntyp = 5
/
ATOMIC_SPECIES
I 126.90 I.upf
H 1.01 H.upf
Nb 92.91 Nb.upf
S 32.06 S.upf
Ga 69.72 Ga.upf
ATOMIC_POSITIONS crystal
I 0.275 0.500 0.528
H 0.915 0.000 0.667
I 0.275 0.000 0.028
Nb 0.892 0.500 0.317
H 0.915 0.500 0.167
S 0.632 0.000 0.346
Nb 0.892 0.000 0.817
S 0.632 0.500 0.846
Ga 0.188 0.000 0.255
Ga 0.188 0.500 0.755
CELL_PARAMETERS angstrom
5.966 0.000 0.001
0.000 3.459 0.000
-3.959 0.000 10.980
```

[3]
Below is a geometry-optimized EuHoInAg structure, with properties calculated at the PBE level. Values from VASP.

Computed properties:
Its formation enthalpy at 0 K is -348 meV/atom. Its space-group type is F-43m (216).

```
&SYSTEM
  ibrav = 0, nat = 4, ntyp = 4
/
ATOMIC_SPECIES
Ag 107.87 Ag.upf
Eu 151.96 Eu.upf
Ho 164.93 Ho.upf
In 114.82 In.upf
ATOMIC_POSITIONS crystal
Ag 0.250 0.250 0.250
Eu 0.000 0.000 0.000
Ho 0.500 0.500 0.500
In 0.750 0.750 0.750
CELL_PARAMETERS angstrom
5.347 0.000 0.000
2.673 4.630 0.000
2.673 1.543 4.366
```

[4]
Below is a geometry-optimized ZrCo5Si3 structure, with properties calculated at the PBE level. Values from VASP.

Computed properties:
For the excess energy over the best structure of this formula in the dataset, the calculation gives 0 meV/atom. The formation energy from raw total energies comes out at -0.626 eV per atom. Its space-group type is P6_3/m (176).

```
&SYSTEM
  ibrav = 0, nat = 54, ntyp = 3
/
ATOMIC_SPECIES
Co 58.93 Co.upf
Si 28.09 Si.upf
Zr 91.22 Zr.upf
ATOMIC_POSITIONS crystal
Co 0.750 0.269 0.049
Co 0.250 0.534 0.074
Si 0.750 0.429 0.059
Si 0.250 0.682 0.237
Si 0.250 0.571 0.941
Si 0.250 0.763 0.445
Co 0.250 0.731 0.951
Si 0.250 0.866 0.117
Co 0.750 0.776 0.348
Co 0.250 0.049 0.780
Zr 0.750 0.706 0.100
Co 0.250 0.224 0.652
Co 0.250 0.027 0.128
Si 0.750 0.445 0.682
Si 0.250 0.251 0.134
Co 0.750 0.780 0.731
Co 0.750 0.149 0.736
Si 0.750 0.237 0.555
Si 0.750 0.941 0.370
Zr 0.250 0.606 0.706
Co 0.750 0.572 0.224
Zr 0.250 0.294 0.900
Co 0.250 0.736 0.586
Si 0.750 0.630 0.571
Zr 0.750 0.900 0.606
Co 0.750 0.973 0.872
Co 0.250 0.102 0.973
Si 0.250 0.555 0.318
Zr 0.250 0.100 0.394
Co 0.750 0.586 0.851
Si 0.250 0.370 0.429
Co 0.250 0.851 0.264
Co 0.250 0.348 0.572
Co 0.250 0.220 0.269
Co 0.750 0.264 0.414
Si 0.750 0.318 0.763
Si 0.750 0.134 0.883
Zr 0.750 0.394 0.294
Co 0.750 0.898 0.027
Co 0.250 0.428 0.776
Co 0.750 0.460 0.534
Co 0.250 0.540 0.466
Co 0.750 0.951 0.220
Si 0.750 0.749 0.866
Co 0.250 0.872 0.898
Co 0.750 0.652 0.428
Si 0.250 0.883 0.749
Si 0.250 0.059 0.630
Co 0.750 0.074 0.540
Co 0.750 0.466 0.926
Si 0.750 0.117 0.251
Co 0.750 0.128 0.102
Co 0.250 0.926 0.460
Co 0.250 0.414 0.149
CELL_PARAMETERS angstrom
-3.150 -1.727 -0.544
6.820 -12.775 1.072
-5.509 6.308 11.863
```

[5]
Below is a geometry-optimized Y6Tm3Th2Sc structure, with properties calculated at the PBE level. Values from VASP.

Computed properties:
Its formation enthalpy at 0 K is 35 meV/atom. Its space-group type is C2/m (12).

```
&SYSTEM
  ibrav = 0, nat = 12, ntyp = 4
/
ATOMIC_SPECIES
Tm 168.93 Tm.upf
Y 88.91 Y.upf
Th 232.04 Th.upf
Sc 44.96 Sc.upf
ATOMIC_POSITIONS crystal
Tm 0.500 0.500 0.500
Y 0.415 0.082 0.248
Y 0.918 0.585 0.752
Y 0.251 0.251 0.752
Th 0.333 0.667 0.000
Tm 0.166 0.834 0.500
Y 0.585 0.918 0.752
Tm 0.834 0.166 0.500
Sc 0.000 0.000 0.000
Y 0.082 0.415 0.248
Th 0.667 0.333 0.000
Y 0.749 0.749 0.248
CELL_PARAMETERS angstrom
6.105 0.000 0.002
-3.051 5.288 0.002
-1.022 -1.769 11.550
```

[6]
Below is a geometry-optimized La2ErIn2 structure, with properties calculated at the PBE level. Values from VASP.

Computed properties:
For the excess energy over the best structure of this formula in the dataset, the calculation gives 0 meV/atom. Its formation enthalpy at 0 K is -390 meV/atom. Its space-group type is Immm (71).

```
&SYSTEM
  ibrav = 0, nat = 5, ntyp = 3
/
ATOMIC_SPECIES
La 138.91 La.upf
Er 167.26 Er.upf
In 114.82 In.upf
ATOMIC_POSITIONS crystal
La 0.188 0.312 0.312
Er 0.000 0.000 0.000
In 0.500 0.716 0.284
La 0.812 0.688 0.688
In 0.500 0.284 0.716
CELL_PARAMETERS angstrom
5.105 0.000 0.000
2.552 5.572 -0.249
2.552 1.252 5.436
```

Number 1: energy -15.9 eV/cell. Number 2: energy -46.3 eV/cell. Number 3: energy -21.8 eV/cell. Number 4: energy -395.9 eV/cell. Number 5: energy -73.0 eV/cell. Number 6: energy -21.8 eV/cell.